Ta2ReSe SCAN single point on PBEsol structure; E_tot = -55.956 eV per atom; SG = No. 123
1.0
3.105 0.000 0.000
0.000 4.584 0.000
0.000 0.000 4.584
Se Re Ta
1 1 2
direct
0.500 0.000 0.000 Se
0.500 0.500 0.500 Re
0.000 0.500 0.000 Ta
0.000 0.000 0.500 Ta